1.
This record from the Alexandria database describes crystalline Tb6CePm2Y at its relaxed geometry. The functional is PBE.

Lattice parameters (Å, degrees): 11.476 6.768 8.994 90.00 107.85 90.00
Space group C2/m (No. 12)
Inequivalent atoms, fractional coordinates:
Tb: 0.128 0.000 0.419 [4 per cell]
Tb: 0.175 0.259 0.803 [8 per cell]
Ce: 0.000 0.000 0.000 [2 per cell]
Pm: 0.087 0.500 0.172 [4 per cell]
Y: 0.000 0.500 0.500 [2 per cell]

Computed properties:
The value obtained for the volume is 33.2 A^3/atom. As for the formation enthalpy at 0 K: 0.249 eV/atom. The total DFT energy (no corrections) is -0.17342 Ha/atom. The calculation puts the density of states at the Fermi level at 41.84 states/eV per cell.


2.
This record from the Alexandria database describes crystalline Tb6CePm3Y2 at its relaxed geometry. The functional is PBE.

Lattice parameters (Å, degrees): 6.214 10.761 11.879 90.00 100.04 90.00
Space group C2/m (No. 12)
Inequivalent atoms, fractional coordinates:
Tb: 0.248 0.000 0.252 [4 per cell]
Tb: 0.248 0.165 0.748 [8 per cell]
Ce: 0.000 0.000 0.500 [2 per cell]
Pm: 0.000 0.167 0.000 [4 per cell]
Pm: 0.000 0.500 0.000 [2 per cell]
Y: 0.000 0.333 0.500 [4 per cell]

Computed properties:
The value obtained for the volume is 32.6 A^3/atom. As for the formation enthalpy at 0 K: 0.035 eV/atom. The total DFT energy (no corrections) is -0.18520 Ha/atom. The calculation puts the density of states at the Fermi level at 38.50 states/eV per cell.


3.
This record from the Alexandria database describes crystalline TbCePmY3 at its relaxed geometry. The functional is PBE.

Lattice parameters (Å, degrees): 5.073 15.148 10.127 90.00 90.00 90.00
Space group Cmcm (No. 63)
Inequivalent atoms, fractional coordinates:
Tb: 0.000 0.166 0.250 [4 per cell]
Ce: 0.000 0.499 0.750 [4 per cell]
Pm: 0.000 0.000 0.000 [4 per cell]
Y: 0.000 0.166 0.750 [4 per cell]
Y: 0.000 0.335 0.000 [8 per cell]

Computed properties:
The value obtained for the volume is 32.4 A^3/atom. As for the formation enthalpy at 0 K: 0.059 eV/atom. The total DFT energy (no corrections) is -0.21043 Ha/atom. The calculation puts the density of states at the Fermi level at 45.81 states/eV per cell.


4.
This record from the Alexandria database describes crystalline TbCePmZn at its relaxed geometry. The functional is PBE.

Lattice parameters (Å, degrees): 7.594 7.594 7.594 90.00 90.00 90.00
Space group F-43m (No. 216)
Inequivalent atoms, fractional coordinates:
Tb: 0.000 0.000 0.000 [4 per cell]
Ce: 0.000 0.000 0.500 [4 per cell]
Pm: 0.250 0.250 0.750 [4 per cell]
Zn: 0.250 0.250 0.250 [4 per cell]

Computed properties:
The value obtained for the volume is 27.4 A^3/atom. As for the formation enthalpy at 0 K: 0.094 eV/atom. The total DFT energy (no corrections) is -0.14893 Ha/atom. The calculation puts the density of states at the Fermi level at 30.62 states/eV per cell.


5.
This record from the Alexandria database describes crystalline CePm2Tc at its relaxed geometry. The functional is PBE.

Lattice parameters (Å, degrees): 3.2865 3.2865 33.8664 90.00 90.00 120.00
Space group R-3m (No. 166, hexagonal axes)
Inequivalent atoms, fractional coordinates:
Ce: 0.0000 0.0000 0.0000 [3 per cell]
Pm: 0.0000 0.0000 0.4224 [6 per cell]
Tc: 0.0000 0.0000 0.5000 [3 per cell]

Computed properties:
The value obtained for the volume is 26.4 A^3/atom. As for the formation enthalpy at 0 K: 0.686 eV/atom. The total DFT energy (no corrections) is -0.21185 Ha/atom. The calculation puts the density of states at the Fermi level at 23.56 states/eV per cell. Its relative energy among the computed polymorphs is 802.3 meV per atom.


6.
This record from the Alexandria database describes crystalline Ce2PmTc at its relaxed geometry. The functional is PBE.

Lattice parameters (Å, degrees): 3.8997 3.8997 26.2677 90.00 90.00 120.00
Space group R3m (No. 160, hexagonal axes)
Inequivalent atoms, fractional coordinates:
Ce: 0.0000 0.0000 0.0000 [3 per cell]
Ce: 0.0000 0.0000 0.2152 [3 per cell]
Pm: 0.0000 0.0000 0.7733 [3 per cell]
Tc: 0.0000 0.0000 0.6103 [3 per cell]

Computed properties:
The value obtained for the volume is 28.8 A^3/atom. As for the formation enthalpy at 0 K: 0.125 eV/atom. The total DFT energy (no corrections) is -0.24334 Ha/atom. The calculation puts the density of states at the Fermi level at 23.74 states/eV per cell. Its relative energy among the computed polymorphs is 169.3 meV per atom.


7.
This record from the Alexandria database describes crystalline Ce3PmTc at its relaxed geometry. The functional is PBE.

Lattice parameters (Å, degrees): 5.375 5.375 5.375 90.00 90.00 90.00
Space group Pm-3m (No. 221)
Inequivalent atoms, fractional coordinates:
Ce: 0.000 0.000 0.500 [3 per cell]
Pm: 0.500 0.500 0.500 [1 per cell]
Tc: 0.000 0.000 0.000 [1 per cell]

Computed properties:
The value obtained for the volume is 31.1 A^3/atom. As for the formation enthalpy at 0 K: 0.113 eV/atom. The total DFT energy (no corrections) is -0.23778 Ha/atom. The calculation puts the density of states at the Fermi level at 15.21 states/eV per cell. Its relative energy among the computed polymorphs is 102.6 meV per atom.


8.
This record from the Alexandria database describes crystalline Ce2PmTc at its relaxed geometry. The functional is PBE.

Lattice parameters (Å, degrees): 3.8404 3.8404 26.9809 90.00 90.00 120.00
Space group R-3m (No. 166, hexagonal axes)
Inequivalent atoms, fractional coordinates:
Ce: 0.0000 0.0000 0.2257 [6 per cell]
Pm: 0.0000 0.0000 0.0000 [3 per cell]
Tc: 0.0000 0.0000 0.5000 [3 per cell]

Computed properties:
The value obtained for the volume is 28.7 A^3/atom. As for the formation enthalpy at 0 K: 0.130 eV/atom. The total DFT energy (no corrections) is -0.24314 Ha/atom. The calculation puts the density of states at the Fermi level at 22.10 states/eV per cell. Its relative energy among the computed polymorphs is 174.8 meV per atom.


9.
This record from the Alexandria database describes crystalline CePm2Tc at its relaxed geometry. The functional is PBE.

Lattice parameters (Å, degrees): 7.211 9.947 6.412 90.00 90.00 90.00
Space group Pnma (No. 62)
Inequivalent atoms, fractional coordinates:
Ce: 0.057 0.250 0.151 [4 per cell]
Pm: 0.176 0.066 0.673 [8 per cell]
Tc: 0.135 0.750 0.512 [4 per cell]

Computed properties:
The value obtained for the volume is 28.7 A^3/atom. As for the formation enthalpy at 0 K: -0.117 eV/atom. The total DFT energy (no corrections) is -0.24133 Ha/atom. The calculation puts the density of states at the Fermi level at 22.13 states/eV per cell. Its relative energy among the computed polymorphs is 0.0 meV per atom.


10.
This record from the Alexandria database describes crystalline Ce3Pm4Tc2 at its relaxed geometry. The functional is PBE.

Lattice parameters (Å, degrees): 3.797 8.775 8.855 64.44 89.92 77.73
Space group P-1 (No. 2)
Inequivalent atoms, fractional coordinates:
Ce: 0.000 0.000 0.000 [1 per cell]
Ce: 0.074 0.852 0.689 [2 per cell]
Pm: 0.230 0.542 0.149 [2 per cell]
Pm: 0.380 0.246 0.624 [2 per cell]
Tc: 0.404 0.178 0.104 [2 per cell]

Computed properties:
The value obtained for the volume is 28.7 A^3/atom. As for the formation enthalpy at 0 K: -0.027 eV/atom. The total DFT energy (no corrections) is -0.23591 Ha/atom. The calculation puts the density of states at the Fermi level at 15.74 states/eV per cell.


11.
This record from the Alexandria database describes crystalline CePm2Tc at its relaxed geometry. The functional is PBE.

Lattice parameters (Å, degrees): 3.518 3.518 8.803 90.00 90.00 90.00
Space group P4/mmm (No. 123)
Inequivalent atoms, fractional coordinates:
Ce: 0.000 0.000 0.000 [1 per cell]
Pm: 0.500 0.500 0.307 [2 per cell]
Tc: 0.000 0.000 0.500 [1 per cell]

Computed properties:
The value obtained for the volume is 27.2 A^3/atom. As for the formation enthalpy at 0 K: 0.180 eV/atom. The total DFT energy (no corrections) is -0.23044 Ha/atom. The calculation puts the density of states at the Fermi level at 8.45 states/eV per cell. Its relative energy among the computed polymorphs is 296.4 meV per atom.


12.
This record from the Alexandria database describes crystalline Ce3PmTc at its relaxed geometry. The functional is PBE.

Lattice parameters (Å, degrees): 3.418 6.210 11.987 87.12 88.22 75.63
Space group P-1 (No. 2)
Inequivalent atoms, fractional coordinates:
Ce: 0.066 0.424 0.321 [2 per cell]
Ce: 0.155 0.221 0.037 [2 per cell]
Ce: 0.284 0.782 0.495 [2 per cell]
Pm: 0.250 0.043 0.762 [2 per cell]
Tc: 0.478 0.570 0.127 [2 per cell]

Computed properties:
The value obtained for the volume is 24.6 A^3/atom. As for the formation enthalpy at 0 K: 0.011 eV/atom. The total DFT energy (no corrections) is -0.24155 Ha/atom. The calculation puts the density of states at the Fermi level at 17.57 states/eV per cell. Its relative energy among the computed polymorphs is 0.0 meV per atom.


Look up the volume of the first one. 33.2 A^3/atom


The highest volume belongs to which entry? Tb6CePm2Y


Which formula does entry 7 have? Ce3PmTc